[1]
## CaMgSb (PBE)

Data for CaMgSb after structural relaxation.

Properties
- uncorrected formation energy (eV per atom) = -0.243
- symmetry = No. 216
- total energy (hartree per atom) = -0.10349

```
CaMgSb
1.0
0.0000 3.6201 3.6201
3.6201 0.0000 3.6201
3.6201 3.6201 0.0000
Ca Mg Sb
1 1 1
Cartesian
0.0000 0.0000 0.0000 Ca
5.4302 5.4302 5.4302 Mg
1.8101 1.8101 1.8101 Sb
```

---

[2]
## CaMgSb (PBE)

Data for CaMgSb after structural relaxation.

Properties
- uncorrected formation energy (eV per atom) = -0.525
- symmetry = No. 156
- total energy (hartree per atom) = -0.11385

```
CaMgSb
1.0
4.7493 0.0000 0.0000
-2.3746 4.1130 0.0000
0.0000 0.0000 4.4163
Ca Mg Sb
1 1 1
Cartesian
0.0000 0.0000 0.0000 Ca
2.3746 1.3710 2.1572 Mg
0.0000 2.7420 2.2633 Sb
```